{"formula": "Li2ZrTc", "functional": "GGA-PBE", "state": "relaxed", "e_tot_ev_per_atom": -5.3739, "formation_enthalpy_0k_ev_per_atom": 0.312, "dos_ef_per_ev_cell": 3.768, "polymorph_energy_ev_per_fu": 0.67, "cell": [[-3.811, 1.815, -2.366], [-3.933, -1.053, 2.614], [4.162, 2.094, 1.309]], "species": ["Li", "Li", "Tc", "Zr"], "frac_coords": [[0.000, 0.000, 0.000], [0.250, 0.750, 0.500], [0.500, 0.500, 0.000], [0.750, 0.250, 0.500]]}